No. 1
# YAlAs2

Crystalline YAlAs2 at its relaxed geometry (PBE-GGA, the Alexandria database).

Formation energy from the elements, eV per atom: -0.574
DOS(E_F), states/eV/atom: 0.251
Raw total energy, eV for the cell shown: -21.8

a = 4.623 Å, b = 4.678 Å, c = 3.750 Å
α = 90.00°, β = 90.00°, γ = 90.00°
Positions (direct):
Y  0.500  0.000  0.500
As  0.500  0.500  0.000
As  0.000  0.000  0.000
Al  0.000  0.500  0.500

No. 2
# YAlAs2

Crystalline YAlAs2 at its relaxed geometry (PBE-GGA, the Alexandria database).

Formation energy from the elements, eV per atom: -0.458
DOS(E_F), states/eV/atom: 0.535
Raw total energy, eV for the cell shown: -21.3

a = 5.210 Å, b = 5.210 Å, c = 5.210 Å
α = 129.34°, β = 129.34°, γ = 74.46°
Positions (direct):
As  0.000  0.000  0.000
As  0.500  0.500  0.000
Y  0.250  0.750  0.500
Al  0.750  0.250  0.500

No. 3
# YAlAs

Crystalline YAlAs at its relaxed geometry (PBE-GGA, the Alexandria database).

Formation energy from the elements, eV per atom: -0.613
DOS(E_F), states/eV/atom: 0.718
Raw total energy, eV for the cell shown: -16.7

a = 4.440 Å, b = 4.440 Å, c = 3.807 Å
α = 90.00°, β = 90.00°, γ = 120.00°
Positions (direct):
As  0.667  0.333  0.167
Al  0.000  0.000  0.167
Y  0.333  0.667  0.667